Here is an optimized crystal structure of P5W3 from the Alexandria database. Energies are from PBE.

Calculated values
E_tot	-8.22	eV/atom
magnetic moment	0.0000	μB per atom
space group	Cm
E_form	0.0198	eV/atom

Lattice parameters (Å, degrees): 6.984 6.984 6.978 101.07 101.07 127.92
Fractional positions:
P1 0.000 0.000 0.000
P2 0.104 0.314 0.641
P3 0.173 0.816 0.210
P4 0.314 0.104 0.641
P5 0.462 0.672 0.358
P6 0.501 0.501 0.000
P7 0.604 0.962 0.789
P8 0.672 0.462 0.358
P9 0.816 0.173 0.210
P10 0.962 0.604 0.789
W1 0.078 0.412 0.000
W2 0.152 0.652 0.499
W3 0.412 0.078 0.000
W4 0.579 0.579 0.667
W5 0.652 0.152 0.499
W6 0.911 0.911 0.333



Here is an optimized crystal structure of P2W from the Alexandria database. Energies are from PBE.

Calculated values
E_tot	-8.03	eV/atom
magnetic moment	0.0000	μB per atom
space group	I4/mcm
E_form	-0.1081	eV/atom

Lattice parameters (Å, degrees): 5.580 5.580 5.675 90.00 90.00 90.00
Fractional positions:
P1 0.142 0.358 0.000
P2 0.142 0.642 0.500
P3 0.358 0.142 0.500
P4 0.358 0.858 0.000
P5 0.642 0.142 0.000
P6 0.642 0.858 0.500
P7 0.858 0.358 0.500
P8 0.858 0.642 0.000
W1 0.000 0.000 0.250
W2 0.000 0.000 0.750
W3 0.500 0.500 0.250
W4 0.500 0.500 0.750



Here is an optimized crystal structure of P8W from the Alexandria database. Energies are from PBE.

Calculated values
E_tot	-5.69	eV/atom
magnetic moment	0.0000	μB per atom
space group	I4/mmm
E_form	0.5551	eV/atom

Lattice parameters (Å, degrees): 5.916 5.916 5.916 97.96 97.96 136.32
Fractional positions:
P1 0.000 0.350 0.350
P2 0.000 0.650 0.650
P3 0.350 0.000 0.350
P4 0.355 0.355 0.709
P5 0.355 0.645 0.000
P6 0.645 0.355 0.000
P7 0.645 0.645 0.291
P8 0.650 0.000 0.650
W1 0.000 0.000 0.000



Here is an optimized crystal structure of P2W from the Alexandria database. Energies are from PBE.

Calculated values
E_tot	-8.06	eV/atom
magnetic moment	0.0000	μB per atom
space group	P-3m1
E_form	-0.1362	eV/atom

Lattice parameters (Å, degrees): 3.129 3.129 5.225 90.00 90.00 120.00
Fractional positions:
P1 0.333 0.667 0.324
P2 0.667 0.333 0.676
W1 0.000 0.000 0.000



Here is an optimized crystal structure of P3W2 from the Alexandria database. Energies are from PBE.

Calculated values
E_tot	-8.42	eV/atom
magnetic moment	0.0000	μB per atom
space group	R-3m
E_form	0.0051	eV/atom

Lattice parameters (Å, degrees): 3.072 3.072 26.832 90.00 90.00 120.00
Fractional positions:
P1 0.000 0.000 0.000
P2 0.000 0.000 0.200
P3 0.000 0.000 0.800
P4 0.333 0.667 0.466
P5 0.333 0.667 0.667
P6 0.333 0.667 0.867
P7 0.667 0.333 0.133
P8 0.667 0.333 0.333
P9 0.667 0.333 0.534
W1 0.000 0.000 0.402
W2 0.000 0.000 0.598
W3 0.333 0.667 0.069
W4 0.333 0.667 0.264
W5 0.667 0.333 0.736
W6 0.667 0.333 0.931



Here is an optimized crystal structure of P2W from the Alexandria database. Energies are from PBE.

Calculated values
E_tot	-7.64	eV/atom
magnetic moment	0.0000	μB per atom
space group	P6/mmm
E_form	0.2807	eV/atom

Lattice parameters (Å, degrees): 4.499 4.499 2.558 90.00 90.00 120.00
Fractional positions:
P1 0.333 0.667 0.000
P2 0.667 0.333 0.000
W1 0.000 0.000 0.000



Here is an optimized crystal structure of P3W5 from the Alexandria database. Energies are from PBE.

Calculated values
E_tot	-10.23	eV/atom
magnetic moment	0.0000	μB per atom
space group	Cm
E_form	-0.1059	eV/atom

Lattice parameters (Å, degrees): 7.060 7.060 7.039 97.88 97.88 134.28
Fractional positions:
P1 0.000 0.000 0.000
P2 0.307 0.837 0.880
P3 0.313 0.313 0.721
P4 0.479 0.837 0.377
P5 0.837 0.307 0.880
P6 0.837 0.479 0.377
W1 0.141 0.813 0.161
W2 0.312 0.974 0.588
W3 0.314 0.314 0.362
W4 0.321 0.541 0.034
W5 0.541 0.321 0.034
W6 0.582 0.807 0.716
W7 0.807 0.582 0.716
W8 0.813 0.141 0.161
W9 0.825 0.825 0.396
W10 0.974 0.312 0.588



Here is an optimized crystal structure of P2W from the Alexandria database. Energies are from PBE.

Calculated values
E_tot	-7.98	eV/atom
magnetic moment	0.0001	μB per atom
space group	Pnnm
E_form	-0.0526	eV/atom

Lattice parameters (Å, degrees): 5.409 6.194 2.959 90.00 90.00 90.00
Fractional positions:
P1 0.167 0.121 0.000
P2 0.333 0.621 0.500
P3 0.667 0.379 0.500
P4 0.833 0.879 0.000
W1 0.000 0.500 0.000
W2 0.500 0.000 0.500



Here is an optimized crystal structure of YP2W from the Alexandria database. Energies are from PBE.

Calculated values
E_tot	-8.14	eV/atom
magnetic moment	0.0000	μB per atom
space group	Amm2
E_form	-0.5818	eV/atom

Lattice parameters (Å, degrees): 4.636 3.498 9.339 90.00 90.00 90.00
Fractional positions:
Y1 0.000 0.000 0.000
Y2 0.000 0.500 0.500
P1 0.000 0.000 0.283
P2 0.000 0.500 0.783
P3 0.500 0.000 0.579
P4 0.500 0.500 0.079
W1 0.500 0.000 0.275
W2 0.500 0.500 0.775



Here is an optimized crystal structure of YP3W from the Alexandria database. Energies are from PBE.

Calculated values
E_tot	-7.22	eV/atom
magnetic moment	0.0000	μB per atom
space group	Pm-3m
E_form	-0.0885	eV/atom

Lattice parameters (Å, degrees): 4.716 4.716 4.716 90.00 90.00 90.00
Fractional positions:
Y1 0.000 0.000 0.000
P1 0.000 0.500 0.500
P2 0.500 0.000 0.500
P3 0.500 0.500 0.000
W1 0.500 0.500 0.500



Here is an optimized crystal structure of YP2W from the Alexandria database. Energies are from PBE.

Calculated values
E_tot	-8.08	eV/atom
magnetic moment	0.0000	μB per atom
space group	P2/m
E_form	-0.5165	eV/atom

Lattice parameters (Å, degrees): 3.143 3.149 6.733 90.00 90.07 90.00
Fractional positions:
Y1 0.000 0.000 0.000
P1 0.500 0.500 0.294
P2 0.500 0.500 0.706
W1 0.000 0.000 0.500



Here is an optimized crystal structure of YP2W from the Alexandria database. Energies are from PBE.

Calculated values
E_tot	-8.20	eV/atom
magnetic moment	0.0000	μB per atom
space group	R3m
E_form	-0.6396	eV/atom

Lattice parameters (Å, degrees): 3.635 3.635 19.322 90.00 90.00 120.00
Fractional positions:
Y1 0.000 0.000 0.000
Y2 0.333 0.667 0.667
Y3 0.667 0.333 0.333
P1 0.000 0.000 0.578
P2 0.000 0.000 0.769
P3 0.333 0.667 0.244
P4 0.333 0.667 0.436
P5 0.667 0.333 0.102
P6 0.667 0.333 0.911
W1 0.000 0.000 0.178
W2 0.333 0.667 0.845
W3 0.667 0.333 0.511



Here is an optimized crystal structure of YP2W from the Alexandria database. Energies are from PBE.

Calculated values
E_tot	-8.23	eV/atom
magnetic moment	0.1478	μB per atom
space group	C2/m
E_form	-0.6708	eV/atom

Lattice parameters (Å, degrees): 6.784 3.646 6.248 90.00 108.70 90.00
Fractional positions:
Y1 0.000 0.000 0.000
Y2 0.500 0.500 0.000
P1 0.240 0.000 0.711
P2 0.260 0.500 0.289
P3 0.740 0.500 0.711
P4 0.760 0.000 0.289
W1 0.000 0.500 0.500
W2 0.500 0.000 0.500



Here is an optimized crystal structure of YP2W from the Alexandria database. Energies are from PBE.

Calculated values
E_tot	-7.96	eV/atom
magnetic moment	0.0000	μB per atom
space group	P2/m
E_form	-0.3966	eV/atom

Lattice parameters (Å, degrees): 3.726 3.764 5.209 90.00 90.07 90.00
Fractional positions:
Y1 0.000 0.000 0.000
P1 0.000 0.000 0.500
P2 0.500 0.500 0.000
W1 0.500 0.500 0.500



Here is an optimized crystal structure of YP2W from the Alexandria database. Energies are from PBE.

Calculated values
E_tot	-7.81	eV/atom
magnetic moment	0.0000	μB per atom
space group	I-42d
E_form	-0.2498	eV/atom

Lattice parameters (Å, degrees): 5.695 5.695 12.077 90.00 90.00 90.00
Fractional positions:
Y1 0.000 0.000 0.000
Y2 0.000 0.500 0.250
Y3 0.500 0.000 0.750
Y4 0.500 0.500 0.500
P1 0.186 0.250 0.625
P2 0.250 0.686 0.875
P3 0.250 0.814 0.375
P4 0.314 0.250 0.125
P5 0.686 0.750 0.125
P6 0.750 0.186 0.375
P7 0.750 0.314 0.875
P8 0.814 0.750 0.625
W1 0.000 0.000 0.500
W2 0.000 0.500 0.750
W3 0.500 0.000 0.250
W4 0.500 0.500 0.000



Here is an optimized crystal structure of YP2W from the Alexandria database. Energies are from PBE.

Calculated values
E_tot	-8.22	eV/atom
magnetic moment	0.0001	μB per atom
space group	Imm2
E_form	-0.6648	eV/atom

Lattice parameters (Å, degrees): 3.335 3.442 12.649 90.00 90.00 90.00
Fractional positions:
Y1 0.000 0.000 0.000
Y2 0.500 0.500 0.500
P1 0.000 0.000 0.391
P2 0.000 0.500 0.175
P3 0.500 0.000 0.675
P4 0.500 0.500 0.891
W1 0.000 0.500 0.752
W2 0.500 0.000 0.252



Here is an optimized crystal structure of Y3PW from the Alexandria database. Energies are from PBE.

Calculated values
E_tot	-7.25	eV/atom
magnetic moment	0.3441	μB per atom
space group	Pm-3m
E_form	0.2989	eV/atom

Lattice parameters (Å, degrees): 5.200 5.200 5.200 90.00 90.00 90.00
Fractional positions:
Y1 0.000 0.000 0.500
Y2 0.000 0.500 0.000
Y3 0.500 0.000 0.000
P1 0.000 0.000 0.000
W1 0.500 0.500 0.500



Here is an optimized crystal structure of YP3W from the Alexandria database. Energies are from PBE.

Calculated values
E_tot	-5.29	eV/atom
magnetic moment	0.0000	μB per atom
space group	Pm-3m
E_form	1.8410	eV/atom

Lattice parameters (Å, degrees): 4.996 4.996 4.996 90.00 90.00 90.00
Fractional positions:
Y1 0.000 0.000 0.000
P1 0.000 0.000 0.500
P2 0.000 0.500 0.000
P3 0.500 0.000 0.000
W1 0.500 0.500 0.500



Here is an optimized crystal structure of YP2W from the Alexandria database. Energies are from PBE.

Calculated values
E_tot	-7.90	eV/atom
magnetic moment	0.0000	μB per atom
space group	P4mm
E_form	-0.3363	eV/atom

Lattice parameters (Å, degrees): 3.361 3.361 6.329 90.00 90.00 90.00
Fractional positions:
Y1 0.000 0.000 0.000
P1 0.000 0.000 0.511
P2 0.500 0.500 0.237
W1 0.500 0.500 0.630



Here is an optimized crystal structure of YP2W from the Alexandria database. Energies are from PBE.

Calculated values
E_tot	-7.95	eV/atom
magnetic moment	0.0000	μB per atom
space group	Fm-3m
E_form	-0.3930	eV/atom

Lattice parameters (Å, degrees): 6.433 6.433 6.433 90.00 90.00 90.00
Fractional positions:
Y1 0.000 0.000 0.000
Y2 0.000 0.500 0.500
Y3 0.500 0.000 0.500
Y4 0.500 0.500 0.000
P1 0.250 0.250 0.250
P2 0.250 0.250 0.750
P3 0.250 0.750 0.250
P4 0.250 0.750 0.750
P5 0.750 0.250 0.250
P6 0.750 0.250 0.750
P7 0.750 0.750 0.250
P8 0.750 0.750 0.750
W1 0.000 0.000 0.500
W2 0.000 0.500 0.000
W3 0.500 0.000 0.000
W4 0.500 0.500 0.500